[1]
First-principles (GGA-PBE) data for crystalline Ru2PtBr at its relaxed geometry, as listed in Alexandria.

Its energy above the lowest structure with this stoichiometry is 674.2 meV per atom. As for the energy relative to the elements, uncorrected: 1.116 eV/atom.

The space group is I-42d (No. 122) and the conventional cell measures 5.250, 5.250 and 12.598 Å, with angles of 90.00, 90.00 and 90.00 degrees. The inequivalent atoms are Ru at (0.239, 0.250, 0.125), Pt at (0.000, 0.000, 0.500) and Br at (0.000, 0.000, 0.000).

***

[2]
First-principles (GGA-PBE) data for crystalline La5TbCu6 at its relaxed geometry, as listed in Alexandria.

The value obtained for the formation energy is -0.148 eV/atom.

The space group is C2/m (No. 12) and the conventional cell measures 16.262, 7.221 and 5.138 Å, with angles of 90.00, 108.41 and 90.00 degrees. The inequivalent atoms are La at (0.000, 0.000, 0.000), La at (0.165, 0.000, 0.664), La at (0.170, 0.500, 0.669), Tb at (0.000, 0.500, 0.000), Cu at (0.000, 0.276, 0.500) and Cu at (0.160, 0.262, 0.158).

***

For reference, total moment by record: 0.00, 0.00 μB/f.u..
For reference, DOS at the Fermi energy by record: 33.37, 20.43 states/eV/cell.